Entry 1:
A relaxed structure of Ba2SrSb, computed with PBE.

Energy ... -2.89 eV/atom
Formation energy (no corrections) ... -45.6 kJ/mol of atoms
Symmetry ... P4mm

Cell: 4.623 4.623 8.073 Å, 90.00 90.00 90.00°
Element x y z (fractional)
Ba1 0.500 0.500 0.285
Ba2 0.000 0.000 0.020
Sr1 0.500 0.500 0.702
Sb1 0.000 0.000 0.493

=====

Entry 2:
A relaxed structure of FeReNi, computed with PBE.

Offset from the most stable computed form ... 0.001 eV/atom
Energy ... -8.87 eV/atom
Symmetry ... Imm2

Cell: 4.438 4.438 4.438 Å, 146.14 130.79 61.07°
Last column: magnetic moment on the atom in μB.
Element x y z (fractional)
Ni1 0.335 0.335 0.000  -0.04
Re1 0.666 0.666 0.000  -0.23
Fe1 0.999 0.999 0.000  1.11